1.
First-principles (PBE) data for an optimized crystal structure of Ba3NbW, as listed in Alexandria.

a = 5.975 Å, b = 5.975 Å, c = 5.975 Å
α = 90.00°, β = 90.00°, γ = 90.00°
Fractional positions:
Ba1 0.000 0.000 0.500
Ba2 0.000 0.500 0.000
Ba3 0.500 0.000 0.000
Nb1 0.500 0.500 0.500
W1 0.000 0.000 0.000

Values from the calculation:
- ΔE_f: 8.25 eV per formula unit
- Density of states at the Fermi level: 6.740 states/eV per cell



2.
First-principles (PBE) data for an optimized crystal structure of NdSnSb2, as listed in Alexandria.

a = 4.473 Å, b = 4.473 Å, c = 11.547 Å
α = 90.00°, β = 90.00°, γ = 90.00°
Fractional positions:
Nd1 0.250 0.250 0.218
Nd2 0.750 0.750 0.782
Sn1 0.250 0.750 0.500
Sn2 0.750 0.250 0.500
Sb1 0.250 0.250 0.728
Sb2 0.250 0.750 0.000
Sb3 0.750 0.250 0.000
Sb4 0.750 0.750 0.272

Values from the calculation:
- E above lowest polymorph: 0.000 eV per atom
- Density of states at the Fermi level: 3.056 states/eV per cell
- Formation energy (no corrections): -0.5378 eV/atom



3.
First-principles (PBE) data for an optimized crystal structure of Zr2Ga5Ru2Pt, as listed in Alexandria.

a = 9.147 Å, b = 9.147 Å, c = 4.035 Å
α = 90.00°, β = 90.00°, γ = 90.00°
Fractional positions:
Zr1 0.178 0.322 0.000
Zr2 0.322 0.822 0.000
Zr3 0.678 0.178 0.000
Zr4 0.822 0.678 0.000
Ga1 0.000 0.500 0.500
Ga2 0.063 0.798 0.500
Ga3 0.202 0.063 0.500
Ga4 0.298 0.563 0.500
Ga5 0.437 0.298 0.500
Ga6 0.500 0.000 0.500
Ga7 0.563 0.702 0.500
Ga8 0.702 0.437 0.500
Ga9 0.798 0.937 0.500
Ga10 0.937 0.202 0.500
Ru1 0.119 0.619 0.000
Ru2 0.381 0.119 0.000
Ru3 0.619 0.881 0.000
Ru4 0.881 0.381 0.000
Pt1 0.000 0.000 0.000
Pt2 0.500 0.500 0.000

Values from the calculation:
- ΔE_f: -4.21 eV per formula unit
- Density of states at the Fermi level: 14.962 states/eV per cell



4.
First-principles (PBE) data for an optimized crystal structure of PaMnNi2H6, as listed in Alexandria.

a = 5.389 Å, b = 5.389 Å, c = 5.389 Å
α = 47.65°, β = 47.65°, γ = 47.65°
Fractional positions:
Pa1 0.000 0.000 0.000
Mn1 0.500 0.500 0.500
Ni1 0.203 0.203 0.203
Ni2 0.797 0.797 0.797
H1 0.093 0.556 0.556
H2 0.444 0.444 0.907
H3 0.444 0.907 0.444
H4 0.556 0.093 0.556
H5 0.556 0.556 0.093
H6 0.907 0.444 0.444

Values from the calculation:
- Density of states at the Fermi level: 5.852 states/eV per cell
- Total energy: -5.2654 eV/atom



no.,volume (Å³/cell)
1,213.35
2,231.02
3,337.61
4,78.27